NaZrGa | PBE | optimized geometry

The structure in POSCAR format:
```
NaZrGa
1.0
3.192 0.000 0.000
0.000 4.802 0.000
1.220 0.000 8.319
Ga Zr Na
2 2 2
direct
0.375 0.750 0.195
0.625 0.250 0.805
0.139 0.750 0.881
0.861 0.250 0.119
0.251 0.250 0.480
0.749 0.750 0.520
```

Summary:
E_tot ... -13.2 eV/f.u.
Space-group type ... P2_1/m (11)
Fermi-level density of states ... 0.48 states/eV per atom